Record 1
First-principles (PBE) data for an optimized crystal structure of MgTeRh2O6, as listed in Alexandria via LeMat-Bulk.

CIF file:
```
data_MgTeRh2O6
_cell_length_a 5.867
_cell_length_b 5.867
_cell_length_c 3.931
_cell_angle_alpha 90.00
_cell_angle_beta 90.00
_cell_angle_gamma 90.00
_space_group_name_H-M_alt 'P 1'
_space_group_IT_number 1
_space_group_name_Hall 'P 1'
loop_
_atom_site_label
_atom_site_type_symbol
_atom_site_fract_x
_atom_site_fract_y
_atom_site_fract_z
Mg1 Mg 0.000 0.000 0.000
Te1 Te 0.500 0.500 0.032
Rh1 Rh 0.000 0.500 0.211
Rh2 Rh 0.500 0.000 0.211
O1 O 0.000 0.000 0.507
O2 O 0.263 0.263 0.097
O3 O 0.263 0.737 0.097
O4 O 0.500 0.500 0.554
O5 O 0.737 0.263 0.097
O6 O 0.737 0.737 0.097
```

Summary:
- E_form (uncorrected) (eV/atom) = -0.60
- DFT total energy (eV/cell) = -55.22
- spin magnetization (μB per formula unit) = 2.12

=====

Record 2
First-principles (PBE) data for an optimized crystal structure of HoSeBr, as listed in Alexandria via LeMat-Bulk.

CIF file:
```
data_HoSeBr
_cell_length_a 5.571
_cell_length_b 4.353
_cell_length_c 7.357
_cell_angle_alpha 90.00
_cell_angle_beta 108.83
_cell_angle_gamma 90.00
_space_group_name_H-M_alt 'P 1'
_space_group_IT_number 1
_space_group_name_Hall 'P 1'
loop_
_atom_site_label
_atom_site_type_symbol
_atom_site_fract_x
_atom_site_fract_y
_atom_site_fract_z
Ho1 Ho 0.166 0.250 0.308
Ho2 Ho 0.834 0.750 0.692
Se1 Se 0.277 0.750 0.570
Se2 Se 0.723 0.250 0.430
Br1 Br 0.260 0.750 0.061
Br2 Br 0.740 0.250 0.939
```

Summary:
- E_form (uncorrected) (eV/atom) = -1.84
- DFT total energy (eV/cell) = -30.51
- spin magnetization (μB per formula unit) = 0.00

=====

Number 1: calculated density 5.57 g/cm3. Number 2: calculated density 6.37 g/cm3.